VASP calculation (GGA+U) on a relaxed MnB2F2 crystal.

a b c (Å): 2.656 2.656 9.593
angles (deg): 82.04 82.04 90.00
Last column: magnetic moment on the atom in μB.
Positions (direct):
B 0.750 0.250 0.500  -0.01
B 0.250 0.750 0.500  -0.01
Mn 0.000 0.000 0.000  4.67
F 0.437 0.437 0.127  0.09
F 0.563 0.563 0.873  0.09

**Symmetry**: I4/mmm (139)

VASP calculation (GGA+U) on a relaxed Mn3BF crystal.

a b c (Å): 4.443 4.443 4.443
angles (deg): 90.00 90.00 90.00
Last column: magnetic moment on the atom in μB.
Positions (direct):
B 0.000 0.000 0.000  -0.16
Mn 0.000 0.500 0.000  4.56
Mn 0.000 0.000 0.500  4.63
Mn 0.500 0.000 0.000  4.46
F 0.500 0.500 0.500  0.16

**Symmetry**: Pm-3m (221)

VASP calculation (GGA+U) on a relaxed MnBF5 crystal.

a b c (Å): 5.048 5.048 6.948
angles (deg): 69.88 69.88 74.89
Last column: magnetic moment on the atom in μB.
Positions (direct):
Mn 0.501 0.499 0.250  4.71
Mn 0.499 0.501 0.750  4.71
B 0.000 0.000 0.000  0.01
B 0.000 0.000 0.500  0.01
F 0.799 0.798 0.101  0.01
F 0.290 0.709 0.500  0.03
F 0.798 0.799 0.601  0.01
F 0.999 0.001 0.250  0.01
F 0.291 0.710 0.000  0.03
F 0.709 0.290 0.000  0.03
F 0.001 0.999 0.750  0.01
F 0.202 0.201 0.399  0.01
F 0.710 0.291 0.500  0.03
F 0.201 0.202 0.899  0.01

**Symmetry**: C2/c (15)

Number 1: uncorrected energy -5.4892 eV/atom. Number 2: uncorrected energy -6.1631 eV/atom. Number 3: uncorrected energy -5.6912 eV/atom.